VASP calculation (GGA+U) on an optimized crystal structure of Li4MnFe3B4O12.

## Properties
Final energy   -168.28 eV per formula unit
V   10.420 Å³ per atom

POSCAR file:
```
Li4MnFe3B4O12
1.0
5.1440 0.0061 0.0068
2.5424 4.5732 0.0013
2.1157 1.6392 10.6396
Li Mn Fe B O
4 1 3 4 12
Direct
0.3992 0.5360 0.8348
0.1095 0.9587 0.6590
0.8936 0.0404 0.3396
0.6012 0.4616 0.1649
0.7214 0.8689 0.8825
0.7863 0.6314 0.6188
0.2133 0.3667 0.3827
0.2804 0.1383 0.1183
0.0606 0.2093 0.8681
0.4439 0.2894 0.6270
0.5564 0.7098 0.3720
0.9371 0.7926 0.1331
0.8031 0.4691 0.8365
0.2881 0.2238 0.9142
0.0991 0.9400 0.8489
0.7015 0.0247 0.6555
0.4153 0.5538 0.6456
0.2075 0.2803 0.5854
0.7948 0.7166 0.4130
0.5827 0.4459 0.3533
0.2992 0.9752 0.3446
0.9104 0.0569 0.1506
0.7014 0.7838 0.0904
0.1940 0.5268 0.1614
```